Record 1
KIn2P after structural relaxation, computed with PBE.

Space group: P4/mmm, No. 123
Energy of formation in eV per atom: -0.032
Electronic total energy in eV per formula unit: -12.11

a b c (Å): 3.6230 3.6230 8.4066
angles (deg): 90.00 90.00 90.00
Closest atoms and distances in Å follow each position.
Positions (direct):
K (0.0000, 0.0000, 0.0000)  4 K 3.62, 8 In 3.70
In (0.5000, 0.5000, 0.3175)  4 P 2.99, 1 In 3.07
In (0.5000, 0.5000, 0.6825)  4 P 2.99, 1 In 3.07
P (0.0000, 0.0000, 0.5000)  8 In 2.99

---

Record 2
Sc2Si2Os after structural relaxation, computed with PBE.

Space group: P4/mbm, No. 127
Uncorrected formation energy in eV/f.u.: -4.12
Electronic total energy in eV per formula unit: -38.85

a b c (Å): 6.3969 6.3969 4.0392
angles (deg): 90.00 90.00 90.00
Closest atoms and distances in Å follow each position.
Positions (direct):
Sc (0.1745, 0.3255, 0.0000)  6 Si 2.67-2.83
Sc (0.3255, 0.8255, 0.0000)  6 Si 2.67-2.83
Sc (0.6745, 0.1745, 0.0000)  6 Si 2.67-2.83
Sc (0.8255, 0.6745, 0.0000)  6 Si 2.67-2.83
Si (0.1322, 0.6322, 0.5000)  1 Si 2.39, 2 Os 2.50, 2 Sc 2.67
Si (0.3678, 0.1322, 0.5000)  1 Si 2.39, 2 Os 2.50, 2 Sc 2.67
Si (0.6322, 0.8678, 0.5000)  1 Si 2.39, 2 Os 2.50, 2 Sc 2.67
Si (0.8678, 0.3678, 0.5000)  1 Si 2.39, 2 Os 2.50, 2 Sc 2.67
Os (0.0000, 0.0000, 0.5000)  4 Si 2.50
Os (0.5000, 0.5000, 0.5000)  4 Si 2.50

---

Record 3
Nd5Sm2Hg4 after structural relaxation, computed with PBE.

Space group: C2/m, No. 12
Energy of formation in eV per atom: -0.127
Electronic total energy in eV per formula unit: -35.88

a b c (Å): 12.7457 12.7457 7.7837
angles (deg): 92.50 92.50 16.10
Closest atoms and distances in Å follow each position.
Positions (direct):
Nd (0.0000, 0.0000, 0.0000)  4 Hg 3.25, 2 Nd 3.57
Nd (0.2670, 0.2670, 0.2097)  3 Hg 3.26-3.36, 1 Sm 3.56, 3 Nd 3.57-3.65
Nd (0.3601, 0.3601, 0.8637)  3 Hg 3.20-3.26, 1 Sm 3.57, 2 Nd 3.57
Nd (0.6399, 0.6399, 0.1363)  3 Hg 3.20-3.26, 1 Sm 3.57, 2 Nd 3.57
Nd (0.7330, 0.7330, 0.7903)  3 Hg 3.26-3.36, 1 Sm 3.56, 3 Nd 3.57-3.65
Sm (0.4065, 0.4065, 0.3029)  4 Hg 3.14-3.20
Sm (0.5935, 0.5935, 0.6971)  4 Hg 3.14-3.20
Hg (0.1709, 0.1709, 0.4765)  2 Sm 3.20, 5 Nd 3.26-3.36, 2 Hg 3.57
Hg (0.4679, 0.4679, 0.6621)  1 Hg 3.06, 2 Sm 3.14-3.17, 3 Nd 3.20-3.25
Hg (0.5321, 0.5321, 0.3379)  1 Hg 3.06, 2 Sm 3.14-3.17, 3 Nd 3.20-3.25
Hg (0.8291, 0.8291, 0.5235)  2 Sm 3.20, 5 Nd 3.26-3.36, 2 Hg 3.57

---

Record 4
SbRuAu after structural relaxation, computed with PBE.

Space group: P3m1, No. 156
Uncorrected formation energy in eV/f.u.: 0.98
Electronic total energy in eV per formula unit: -15.70

a b c (Å): 3.2234 3.2234 6.3399
angles (deg): 90.00 90.00 120.00
Closest atoms and distances in Å follow each position.
Positions (direct):
Sb (0.0000, 0.0000, 0.0000)  3 Ru 2.64
Ru (0.6667, 0.3333, 0.7053)  3 Sb 2.64, 3 Au 2.84
Au (0.3333, 0.6667, 0.3668)  3 Ru 2.84, 3 Sb 2.98

---

Record 5
TeO after structural relaxation, computed with PBE.

Space group: Pmmn, No. 59
Uncorrected formation energy in eV/f.u.: -0.79
Electronic total energy in eV per formula unit: -8.89

a b c (Å): 4.2604 9.1559 6.1732
angles (deg): 90.00 90.00 90.00
Closest atoms and distances in Å follow each position.
Positions (direct):
Te (0.2500, 0.0721, 0.1957)  3 O 2.06-2.24
Te (0.2500, 0.4279, 0.1957)  3 O 2.06-2.24
Te (0.2500, 0.7500, 0.4108)  2 O 2.17
Te (0.7500, 0.2500, 0.5892)  2 O 2.17
Te (0.7500, 0.5721, 0.8043)  3 O 2.06-2.24
Te (0.7500, 0.9279, 0.8043)  3 O 2.06-2.24
O (0.2500, 0.2500, 0.5261)  2 Te 2.17
O (0.2500, 0.5332, 0.8999)  3 Te 2.06-2.24
O (0.2500, 0.9668, 0.8999)  3 Te 2.06-2.24
O (0.7500, 0.0332, 0.1001)  3 Te 2.06-2.24
O (0.7500, 0.4668, 0.1001)  3 Te 2.06-2.24
O (0.7500, 0.7500, 0.4739)  2 Te 2.17

---

Record 6
La4GeBiS2 after structural relaxation, computed with PBE.

Space group: P2/m, No. 10
Uncorrected formation energy in eV/f.u.: -12.13
Electronic total energy in eV per formula unit: -48.59

a b c (Å): 7.4951 4.3922 7.6645
angles (deg): 90.00 109.69 90.00
Closest atoms and distances in Å follow each position.
Positions (direct):
La (0.2346, 0.0000, 0.2323)  3 S 3.00-3.12, 1 Ge 3.08, 2 Bi 3.20
La (0.2425, 0.5000, 0.7579)  3 S 3.00-3.10, 2 Ge 3.09, 1 Bi 3.19
La (0.7575, 0.5000, 0.2421)  3 S 3.00-3.10, 2 Ge 3.09, 1 Bi 3.19
La (0.7654, 0.0000, 0.7677)  3 S 3.00-3.12, 1 Ge 3.08, 2 Bi 3.20
Ge (0.5000, 0.0000, 0.0000)  6 La 3.08-3.09
Bi (0.5000, 0.5000, 0.5000)  6 La 3.19-3.20
S (0.0000, 0.0000, 0.5000)  6 La 3.10-3.12
S (0.0000, 0.5000, 0.0000)  6 La 3.00

---

> Which formula does entry 6 have?

La4GeBiS2